A plane-wave DFT calculation with meta-GGA SCAN was carried out for a crystal of YTl4 relaxed with PBEsol.

Results
Calculated formation energy = -20 kJ/mol of atoms

a = 4.425 Å, b = 5.883 Å, c = 5.883 Å
α = 81.87°, β = 67.91°, γ = 67.91°
Sites, in units of the cell vectors:
Tl  0.198  0.403  0.202
Tl  0.399  0.798  0.403
Tl  0.802  0.597  0.798
Tl  0.601  0.202  0.597
Y  0.000  0.000  0.000

---

A plane-wave DFT calculation with meta-GGA SCAN was carried out for a crystal of Y3Tl relaxed with PBEsol.

Results
Calculated formation energy = -31 kJ/mol of atoms

a = 6.037 Å, b = 6.037 Å, c = 6.037 Å
α = 90.00°, β = 90.00°, γ = 90.00°
Site moments in Bohr magnetons follow the coordinates.
Sites, in units of the cell vectors:
Y  0.500  0.000  0.250  0.23
Y  0.250  0.500  0.000  0.23
Y  0.000  0.250  0.500  0.23
Y  0.750  0.500  0.000  0.23
Y  0.500  0.000  0.750  0.23
Y  0.000  0.750  0.500  0.23
Tl  0.500  0.500  0.500  0.00
Tl  0.000  0.000  0.000  0.00

---

A plane-wave DFT calculation with meta-GGA SCAN was carried out for a crystal of YTl5 relaxed with PBEsol.

Results
Calculated formation energy = -14 kJ/mol of atoms

a = 4.033 Å, b = 5.192 Å, c = 7.955 Å
α = 90.00°, β = 104.68°, γ = 90.00°
Sites, in units of the cell vectors:
Tl  0.972  0.000  0.945
Tl  0.806  0.500  0.612
Tl  0.639  0.000  0.278
Tl  0.472  0.500  0.943
Tl  0.306  0.000  0.612
Y  0.139  0.500  0.277

---

A plane-wave DFT calculation with meta-GGA SCAN was carried out for a crystal of Y2Tl relaxed with PBEsol.

Results
Calculated formation energy = -43 kJ/mol of atoms

a = 4.247 Å, b = 4.920 Å, c = 8.160 Å
α = 90.00°, β = 105.08°, γ = 90.00°
Sites, in units of the cell vectors:
Tl  0.910  0.750  0.821
Tl  0.090  0.250  0.179
Y  0.269  0.750  0.537
Y  0.731  0.250  0.463
Y  0.424  0.250  0.849
Y  0.576  0.750  0.151

---

Q: The lowest calculated formation energy belongs to which entry?
A: Y2Tl

---

Copy entry 2 word for word.
A plane-wave DFT calculation with meta-GGA SCAN was carried out for a crystal of Y3Tl relaxed with PBEsol.

Results
Calculated formation energy = -31 kJ/mol of atoms

a = 6.037 Å, b = 6.037 Å, c = 6.037 Å
α = 90.00°, β = 90.00°, γ = 90.00°
Site moments in Bohr magnetons follow the coordinates.
Sites, in units of the cell vectors:
Y  0.500  0.000  0.250  0.23
Y  0.250  0.500  0.000  0.23
Y  0.000  0.250  0.500  0.23
Y  0.750  0.500  0.000  0.23
Y  0.500  0.000  0.750  0.23
Y  0.000  0.750  0.500  0.23
Tl  0.500  0.500  0.500  0.00
Tl  0.000  0.000  0.000  0.00

---

Q: What is the formula in the second record?
A: Y3Tl